No. 1
Here is GeSbPCl2 after structural relaxation from Alexandria via LeMat-Bulk. Energies are from PBEsol.

The calculation puts the total energy at -0.2726 Ry per atom.

The space group is P4/mmm (No. 123) and the conventional cell measures 4.7103, 4.7103 and 5.0272 Å, with angles of 90.00, 90.00 and 90.00 degrees. Symmetry generates all atoms from Ge at (0.0000, 0.0000, 0.0000), Sb at (0.5000, 0.5000, 0.5000), P at (0.0000, 0.0000, 0.5000) and Cl at (0.0000, 0.5000, 0.0000).

---

No. 2
Here is KReHg2 after structural relaxation from Alexandria via LeMat-Bulk. Energies are from PBEsol.

The calculation puts the energy above the most stable polymorph in this dataset at 0 meV/atom. As for the formation energy: 2.82 eV/f.u.

The space group is P4/mmm (No. 123) and the conventional cell measures 5.2512, 5.2512 and 2.8699 Å, with angles of 90.00, 90.00 and 90.00 degrees. Symmetry generates all atoms from K at (0.0000, 0.0000, 0.0000), Re at (0.5000, 0.5000, 0.0000) and Hg at (0.0000, 0.5000, 0.5000).

---

No. 3
Here is SiN3Cl after structural relaxation from Alexandria via LeMat-Bulk. Energies are from PBEsol.

The calculation puts the total energy at -0.4004 Ry per atom.

The space group is Pm-3m (No. 221) and the conventional cell measures 3.6411, 3.6411 and 3.6411 Å, with angles of 90.00, 90.00 and 90.00 degrees. Symmetry generates all atoms from Si at (0.0000, 0.0000, 0.0000), N at (0.0000, 0.0000, 0.5000) and Cl at (0.5000, 0.5000, 0.5000).

---

No. 4
Here is K2ScTlF6 after structural relaxation from Alexandria via LeMat-Bulk. Energies are from PBEsol.

The calculation puts the total energy at -0.3916 Ry per atom.

The space group is Fm-3m (No. 225) and the conventional cell measures 9.1547, 9.1547 and 9.1547 Å, with angles of 90.00, 90.00 and 90.00 degrees. Symmetry generates all atoms from K at (0.2500, 0.2500, 0.2500), Sc at (0.0000, 0.0000, 0.0000), Tl at (0.0000, 0.0000, 0.5000) and F at (0.0000, 0.0000, 0.2192).

---

No. 5
Here is Si2PPt2 after structural relaxation from Alexandria via LeMat-Bulk. Energies are from PBEsol.

The calculation puts the total energy at -0.4698 Ry per atom.

The space group is I4/mmm (No. 139) and the conventional cell measures 3.8890, 3.8890 and 10.3497 Å, with angles of 90.00, 90.00 and 90.00 degrees. Symmetry generates all atoms from Si at (0.0000, 0.0000, 0.1083), P at (0.0000, 0.0000, 0.5000) and Pt at (0.0000, 0.5000, 0.2500).

---

No. 6
Here is Mn2Tl2Se after structural relaxation from Alexandria via LeMat-Bulk. Energies are from PBEsol.

The calculation puts the total energy at -0.3727 Ry per atom.

The space group is I4/mmm (No. 139) and the conventional cell measures 4.0163, 4.0163 and 13.5417 Å, with angles of 90.00, 90.00 and 90.00 degrees. Symmetry generates all atoms from Mn at (0.0000, 0.0000, 0.0918), Tl at (0.0000, 0.5000, 0.2500) and Se at (0.0000, 0.0000, 0.5000).

---

No. 7
Here is SrGa2AuS after structural relaxation from Alexandria via LeMat-Bulk. Energies are from PBEsol.

The calculation puts the total energy at -0.2678 Ry per atom.

The space group is P4/mmm (No. 123) and the conventional cell measures 4.6684, 4.6684 and 6.3199 Å, with angles of 90.00, 90.00 and 90.00 degrees. Symmetry generates all atoms from Sr at (0.0000, 0.0000, 0.0000), Ga at (0.0000, 0.5000, 0.5000), Au at (0.5000, 0.5000, 0.5000) and S at (0.5000, 0.5000, 0.0000).

---

No. 8
Here is BeAg2W after structural relaxation from Alexandria via LeMat-Bulk. Energies are from PBEsol.

As for the formation energy: 3.16 eV/f.u.

The space group is P4/mmm (No. 123) and the conventional cell measures 4.7237, 4.7237 and 2.7098 Å, with angles of 90.00, 90.00 and 90.00 degrees. Symmetry generates all atoms from Be at (0.0000, 0.0000, 0.0000), Ag at (0.0000, 0.5000, 0.5000) and W at (0.5000, 0.5000, 0.0000).

---

No. 9
Here is ScCoSb2 after structural relaxation from Alexandria via LeMat-Bulk. Energies are from PBEsol.

The calculation puts the total energy at -0.4493 Ry per atom.

The space group is Cm (No. 8) and the conventional cell measures 10.0668, 3.7430 and 4.2859 Å, with angles of 90.00, 102.30 and 90.00 degrees. Symmetry generates all atoms from Sc at (0.0000, 0.0000, 0.0000), Co at (0.3214, 0.5000, 0.4201), Sb at (0.0308, 0.5000, 0.5171) and Sb at (0.2721, 0.0000, 0.9124).

---

No. 10
Here is Tb4Sb6Rh7 after structural relaxation from Alexandria via LeMat-Bulk. Energies are from PBEsol.

The calculation puts the total energy at -0.5181 Ry per atom.

The space group is Im-3m (No. 229) and the conventional cell measures 8.6702, 8.6702 and 8.6702 Å, with angles of 90.00, 90.00 and 90.00 degrees. Symmetry generates all atoms from Tb at (0.2500, 0.2500, 0.2500), Sb at (0.0000, 0.0000, 0.3167), Rh at (0.0000, 0.0000, 0.0000) and Rh at (0.0000, 0.2500, 0.5000).

---

No. 11
Here is LaSnTe3 after structural relaxation from Alexandria via LeMat-Bulk. Energies are from PBEsol.

The calculation puts the total energy at -0.3209 Ry per atom.

The space group is Pm-3m (No. 221) and the conventional cell measures 5.5657, 5.5657 and 5.5657 Å, with angles of 90.00, 90.00 and 90.00 degrees. Symmetry generates all atoms from La at (0.0000, 0.0000, 0.0000), Sn at (0.5000, 0.5000, 0.5000) and Te at (0.0000, 0.5000, 0.5000).

---

No. 12
Here is SrAuSe2 after structural relaxation from Alexandria via LeMat-Bulk. Energies are from PBEsol.

The calculation puts the energy above the most stable polymorph in this dataset at 42 meV/atom.

The space group is I-4m2 (No. 119) and the conventional cell measures 4.1110, 4.1110 and 10.7556 Å, with angles of 90.00, 90.00 and 90.00 degrees. Symmetry generates all atoms from Sr at (0.0000, 0.0000, 0.0000), Au at (0.0000, 0.5000, 0.2500), Se at (0.0000, 0.0000, 0.5000) and Se at (0.0000, 0.5000, 0.7500).